Na4TlF2 GGA-PBE optimized geometry; ΔE_f (raw) = -918 meV per atom
1.0
-4.155 3.651 -1.561
-3.747 -4.353 -0.208
-5.483 0.659 5.557
Tl F Na
1 2 4
Cartesian
0.000 0.000 0.000 Tl
-4.283 -0.132 0.514 F
-9.101 0.089 3.274 F
-2.078 1.826 -0.780 Na
-4.754 0.179 2.494 Na
-8.630 -0.222 1.294 Na
-1.873 -2.176 -0.104 Na

YPaTiO6 GGA-PBE optimized geometry; ΔE_f (raw) = -3344 meV per atom
1.0
5.446 0.000 0.000
-2.723 4.716 0.000
0.000 0.000 9.442
Pa O Ti Y
2 12 2 2
Cartesian
0.000 0.000 0.000 Pa
0.000 0.000 4.721 Pa
1.652 3.237 5.967 O
1.816 0.188 1.246 O
1.977 3.049 1.246 O
0.906 4.528 8.196 O
-0.746 1.667 5.967 O
-0.906 4.528 5.967 O
4.375 1.479 1.246 O
0.746 1.667 8.196 O
3.629 0.188 3.475 O
1.071 1.479 3.475 O
3.468 3.049 3.475 O
-1.652 3.237 8.196 O
0.000 3.144 7.081 Ti
2.723 1.572 2.360 Ti
0.000 3.144 2.360 Y
2.723 1.572 7.081 Y

InSiGe GGA-PBE optimized geometry; ΔE_f (raw) = 204 meV per atom
1.0
5.547 0.000 0.024
0.000 3.864 0.000
-1.007 0.000 6.537
Ge Si In
2 2 2
Cartesian
1.547 1.932 5.380 Ge
3.962 1.932 1.023 Ge
5.395 0.000 0.721 Si
0.021 0.000 5.197 Si
1.749 0.000 2.595 In
3.940 1.932 3.859 In

ZrSi2Pt GGA-PBE optimized geometry; ΔE_f (raw) = -551 meV per atom
1.0
4.124 -0.285 -0.180
3.158 2.667 -0.180
1.279 0.418 5.593
Zr Pt Si
1 1 2
Cartesian
6.421 2.100 3.924 Zr
2.140 0.700 1.308 Pt
4.281 1.400 2.319 Si
7.282 2.381 -0.064 Si

NbGe2Ru GGA-PBE optimized geometry; energy of formation = -0.19 eV per atom
1.0
3.045 0.000 0.000
0.000 3.045 0.000
0.000 0.000 6.669
Ge Nb Ru
2 1 1
Cartesian
0.000 0.000 5.163 Ge
0.000 0.000 1.506 Ge
1.522 1.522 3.334 Nb
1.522 1.522 0.000 Ru

LiAc2RhN2 GGA-PBE optimized geometry; ΔE_f (raw) = -564 meV per atom
1.0
-2.485 -1.855 2.750
1.694 -6.203 -2.653
5.929 -0.522 5.005
Li N Ac Rh
2 4 4 2
Cartesian
2.964 -0.261 2.503 Li
-0.396 -4.029 0.049 Li
1.079 -1.919 -0.319 N
2.627 -2.471 3.831 N
6.543 -4.806 2.671 N
2.510 -6.109 1.272 N
2.557 -4.108 -0.460 Ac
4.647 -6.645 2.841 Ac
0.491 -1.935 2.262 Ac
5.066 -2.618 2.812 Ac
0.000 0.000 0.000 Rh
2.569 -4.290 2.551 Rh

The following is a DFT calculation (GGA-PBE) of NiAg2H2 after structural relaxation.

POSCAR file:
```
NiAg2H2
1.0
5.398 0.000 0.000
0.000 5.398 0.000
0.000 0.000 3.893
Ag H Ni
4 4 2
Cartesian
1.638 1.061 1.947 Ag
1.061 3.760 1.947 Ag
3.760 4.337 1.947 Ag
4.337 1.638 1.947 Ag
1.426 1.273 0.000 H
3.972 4.125 0.000 H
1.273 3.972 0.000 H
4.125 1.426 0.000 H
2.699 2.699 0.000 Ni
0.000 0.000 0.000 Ni
```

ZnAgGeAu GGA-PBE optimized geometry; energy of formation = 0.09 eV per atom
1.0
4.639 0.000 0.000
2.320 4.018 0.000
2.320 1.339 3.788
Ge Zn Ag Au
1 1 1 1
Cartesian
2.320 1.339 0.947 Ge
6.959 4.018 2.841 Zn
4.639 2.678 1.894 Ag
0.000 0.000 0.000 Au

Rb2ZnOF6 GGA-PBE optimized geometry; ΔE_f (raw) = -1713 meV per atom
1.0
-3.683 3.145 -2.841
-2.889 -4.617 -1.367
-6.028 -0.236 2.005
F Zn Rb O
6 1 2 1
Cartesian
-3.105 -2.506 -1.767 F
-4.785 -1.071 -3.063 F
-4.993 -0.425 0.454 F
-3.467 1.035 -2.440 F
-7.607 -1.283 -2.656 F
-1.787 -0.400 -1.144 F
0.000 0.000 0.000 Zn
-6.101 -2.794 -0.733 Rb
-6.498 1.087 -1.470 Rb
-3.286 -0.736 -2.104 O

CaZnTc2 GGA-PBE optimized geometry; energy of formation = 0.44 eV per atom
1.0
4.836 0.000 0.000
0.000 3.173 0.042
0.000 0.561 4.644
Ca Zn Tc
1 1 2
Cartesian
2.418 2.800 3.514 Ca
2.418 0.933 1.171 Zn
0.000 0.283 0.102 Tc
0.000 1.584 2.240 Tc

MnCd2Se GGA-PBE optimized geometry; ΔE_f (raw) = 33 meV per atom
1.0
-2.025 3.879 1.022
-2.248 3.079 -2.380
-6.520 -1.313 0.735
Mn Se Cd
1 1 2
Cartesian
-6.200 2.699 -0.230 Mn
-7.497 4.713 -0.619 Se
-2.626 1.095 -0.086 Cd
-10.660 5.607 -0.623 Cd

Ho4RuCl5 GGA-PBE optimized geometry; ΔE_f (raw) = -1574 meV per atom
1.0
3.828 0.000 0.000
0.000 8.395 -0.250
-1.914 -1.429 9.109
Cl Ho Ru
5 4 1
Cartesian
1.914 4.198 -0.125 Cl
1.914 0.298 5.677 Cl
1.914 4.887 5.921 Cl
0.000 2.080 2.939 Cl
0.000 6.669 3.183 Cl
0.000 1.890 0.080 Ho
1.914 5.077 8.780 Ho
0.000 6.846 6.194 Ho
1.914 0.121 2.666 Ho
1.914 0.000 0.000 Ru

AcCd3Ag2 GGA-PBE optimized geometry; energy of formation = -0.24 eV per atom
1.0
4.584 0.000 0.000
0.000 9.142 -5.278
0.000 0.000 10.557
Cd Ag Ac
9 6 3
Cartesian
2.292 4.571 2.639 Cd
0.000 2.691 1.554 Cd
0.000 2.691 -1.554 Cd
2.292 4.571 -2.639 Cd
0.000 0.000 3.108 Cd
0.000 0.000 7.449 Cd
0.000 6.451 -3.725 Cd
2.292 0.000 5.278 Cd
0.000 6.451 3.725 Cd
2.292 7.380 2.226 Ag
2.292 5.618 5.278 Ag
2.292 3.524 0.000 Ag
2.292 1.762 3.052 Ag
2.292 1.762 7.505 Ag
2.292 7.380 -2.226 Ag
0.000 3.047 5.278 Ac
2.292 0.000 0.000 Ac
0.000 6.095 0.000 Ac

BeCrCoP2 GGA-PBE optimized geometry; energy of formation = 0.97 eV per atom
1.0
4.274 0.000 0.000
0.000 4.459 0.000
0.000 0.000 4.274
P Be Cr Co
2 1 1 1
Cartesian
2.137 0.000 0.000 P
0.000 0.000 2.137 P
2.137 2.230 2.137 Be
0.000 0.000 0.000 Cr
0.000 2.230 0.000 Co

TcPtS3 GGA-PBE optimized geometry; ΔE_f (raw) = 979 meV per atom
1.0
-4.208 -0.287 2.076
-1.989 -0.917 -4.159
0.659 -4.602 0.699
S Tc Pt
3 1 1
Cartesian
0.330 -2.301 0.350 S
-2.104 -0.144 1.038 S
-0.995 -0.458 -2.080 S
-2.769 -2.903 -0.692 Tc
0.000 0.000 0.000 Pt

NaBi2Pt GGA-PBE optimized geometry; energy of formation = -0.13 eV per atom
1.0
4.122 0.000 0.000
0.000 4.794 0.000
0.000 0.000 4.794
Bi Pt Na
2 1 1
Cartesian
0.000 2.397 0.000 Bi
0.000 0.000 2.397 Bi
2.061 0.000 0.000 Pt
2.061 2.397 2.397 Na

LiZnCo GGA-PBE optimized geometry; energy of formation = 0.45 eV per atom
1.0
-1.032 3.644 -1.342
-1.213 0.472 -3.802
-3.851 0.834 -0.791
Li Co Zn
1 1 1
Cartesian
-3.048 2.475 -2.967 Li
0.000 0.000 0.000 Co
-4.572 3.713 -4.451 Zn

Tl4CdPb2 GGA-PBE optimized geometry; energy of formation = 0.07 eV per atom
1.0
-4.129 -1.389 1.756
2.635 -6.287 1.222
2.060 1.886 6.337
Tl Pb Cd
4 2 1
Cartesian
0.390 -4.420 3.703 Tl
1.317 -3.143 0.611 Tl
1.030 0.943 3.168 Tl
0.176 -1.370 5.612 Tl
-1.123 -1.576 2.393 Pb
1.690 -4.213 6.922 Pb
0.000 0.000 0.000 Cd

TaAgAs2 GGA-PBE optimized geometry; energy of formation = 0.06 eV per atom
1.0
3.031 -0.005 0.000
-0.893 2.897 0.000
0.000 0.000 8.726
As Ag Ta
2 1 1
Cartesian
0.000 0.000 4.111 As
0.000 0.000 0.252 As
1.069 1.446 6.545 Ag
1.069 1.446 2.182 Ta

K2TcAg GGA-PBE optimized geometry; energy of formation = 0.88 eV per atom
1.0
-2.310 -1.249 2.613
0.325 -3.433 -1.352
7.840 -1.673 6.130
K Ag Tc
2 1 1
Cartesian
7.179 -1.532 5.614 K
1.585 -2.891 2.646 K
4.274 -3.465 4.748 Ag
4.576 -0.976 3.578 Tc

| no. | density of states at the Fermi level (states/eV/cell) | raw total energy (eV for the cell shown) |
| --- | --- | --- |
| 1 | 3.01 | -17.809 |
| 2 | 0.00 | -167.404 |
| 3 | 1.21 | -24.335 |
| 4 | 1.32 | -27.638 |
| 5 | 2.33 | -29.354 |
| 6 | 0.07 | -75.031 |
| 7 | 3.28 | -34.079 |
| 8 | 2.27 | -11.662 |
| 9 | 0.00 | -36.530 |
| 10 | 2.70 | -22.257 |
| 11 | 2.55 | -14.351 |
| 12 | 6.04 | -52.557 |
| 13 | 10.59 | -41.919 |
| 14 | 5.40 | -26.420 |
| 15 | 4.09 | -23.894 |
| 16 | 1.95 | -15.650 |
| 17 | 6.20 | -8.944 |
| 18 | 3.30 | -17.303 |
| 19 | 2.48 | -23.745 |
| 20 | 3.46 | -11.908 |